[1]
Compound: NiSeCl3
Source: the Alexandria database
Functional: PBE-GGA
Structure: optimized geometry

Cell: 6.679 7.383 12.374 Å, 90.00 93.02 90.00°
Sites, in units of the cell vectors:
Ni (0.054, 0.116, 0.383)
Ni (0.054, 0.884, 0.883)
Ni (0.946, 0.116, 0.117)
Ni (0.946, 0.884, 0.617)
Se (0.031, 0.422, 0.341)
Se (0.031, 0.578, 0.841)
Se (0.969, 0.422, 0.159)
Se (0.969, 0.578, 0.659)
Cl (0.134, 0.159, 0.954)
Cl (0.134, 0.841, 0.454)
Cl (0.223, 0.042, 0.216)
Cl (0.223, 0.958, 0.716)
Cl (0.318, 0.278, 0.452)
Cl (0.318, 0.722, 0.952)
Cl (0.682, 0.278, 0.048)
Cl (0.682, 0.722, 0.548)
Cl (0.777, 0.042, 0.284)
Cl (0.777, 0.958, 0.784)
Cl (0.866, 0.159, 0.546)
Cl (0.866, 0.841, 0.046)

Properties
Magnetization ... 4.02 Bohr magnetons per cell
Raw formation energy ... -0.339 eV/atom
D(E_F) ... 0.336 states/eV/atom
Energy ... -66.00 eV per cell

[2]
Compound: Na3AlP3NO9
Source: the Alexandria database
Functional: PBE-GGA
Structure: optimized geometry

Cell: 9.404 9.404 9.404 Å, 90.00 90.00 90.00°
Sites, in units of the cell vectors:
Na (0.050, 0.450, 0.550)
Na (0.141, 0.641, 0.859)
Na (0.240, 0.760, 0.260)
Na (0.260, 0.240, 0.760)
Na (0.359, 0.359, 0.359)
Na (0.450, 0.550, 0.050)
Na (0.550, 0.050, 0.450)
Na (0.641, 0.859, 0.141)
Na (0.740, 0.740, 0.740)
Na (0.760, 0.260, 0.240)
Na (0.859, 0.141, 0.641)
Na (0.950, 0.950, 0.950)
Al (0.167, 0.167, 0.167)
Al (0.333, 0.833, 0.667)
Al (0.667, 0.333, 0.833)
Al (0.833, 0.667, 0.333)
P (0.011, 0.828, 0.579)
P (0.079, 0.489, 0.172)
P (0.172, 0.079, 0.489)
P (0.328, 0.921, 0.989)
P (0.421, 0.511, 0.672)
P (0.489, 0.172, 0.079)
P (0.511, 0.672, 0.421)
P (0.579, 0.011, 0.828)
P (0.672, 0.421, 0.511)
P (0.828, 0.579, 0.011)
P (0.921, 0.989, 0.328)
P (0.989, 0.328, 0.921)
N (0.057, 0.943, 0.443)
N (0.443, 0.057, 0.943)
N (0.557, 0.557, 0.557)
N (0.943, 0.443, 0.057)
O (0.015, 0.592, 0.282)
O (0.060, 0.411, 0.802)
O (0.089, 0.198, 0.560)
O (0.092, 0.218, 0.985)
O (0.120, 0.349, 0.246)
O (0.151, 0.754, 0.620)
O (0.198, 0.560, 0.089)
O (0.218, 0.985, 0.092)
O (0.246, 0.120, 0.349)
O (0.254, 0.880, 0.849)
O (0.282, 0.015, 0.592)
O (0.302, 0.440, 0.589)
O (0.349, 0.246, 0.120)
O (0.380, 0.651, 0.746)
O (0.408, 0.782, 0.485)
O (0.411, 0.802, 0.060)
O (0.440, 0.589, 0.302)
O (0.485, 0.408, 0.782)
O (0.515, 0.908, 0.718)
O (0.560, 0.089, 0.198)
O (0.589, 0.302, 0.440)
O (0.592, 0.282, 0.015)
O (0.620, 0.151, 0.754)
O (0.651, 0.746, 0.380)
O (0.698, 0.940, 0.911)
O (0.718, 0.515, 0.908)
O (0.746, 0.380, 0.651)
O (0.754, 0.620, 0.151)
O (0.782, 0.485, 0.408)
O (0.802, 0.060, 0.411)
O (0.849, 0.254, 0.880)
O (0.880, 0.849, 0.254)
O (0.908, 0.718, 0.515)
O (0.911, 0.698, 0.940)
O (0.940, 0.911, 0.698)
O (0.985, 0.092, 0.218)

Properties
Magnetization ... 0.00 Bohr magnetons per cell
Raw formation energy ... -2.238 eV/atom
D(E_F) ... 0.000 states/eV/atom
Energy ... -459.71 eV per cell

[3]
Compound: NdDy6Sc3
Source: the Alexandria database
Functional: PBE-GGA
Structure: optimized geometry

Cell: 10.705 10.705 6.244 Å, 90.00 90.00 123.06°
Sites, in units of the cell vectors:
Nd (0.213, 0.787, 0.500)
Nd (0.787, 0.213, 0.000)
Dy (0.026, 0.431, 0.352)
Dy (0.044, 0.956, 0.863)
Dy (0.295, 0.364, 0.185)
Dy (0.315, 0.685, 0.035)
Dy (0.364, 0.295, 0.685)
Dy (0.431, 0.026, 0.852)
Dy (0.569, 0.974, 0.352)
Dy (0.636, 0.705, 0.185)
Dy (0.685, 0.315, 0.535)
Dy (0.705, 0.636, 0.685)
Dy (0.956, 0.044, 0.363)
Dy (0.974, 0.569, 0.852)
Sc (0.080, 0.311, 0.787)
Sc (0.311, 0.080, 0.287)
Sc (0.385, 0.615, 0.573)
Sc (0.615, 0.385, 0.073)
Sc (0.689, 0.920, 0.787)
Sc (0.920, 0.689, 0.287)

Properties
Energy of formation ... 0.16 eV/atom
Magnetization ... 0.00 Bohr magnetons per cell
D(E_F) ... 1.230 states/eV/atom
Energy ... -99.47 eV per cell

[4]
Compound: PaAlTcIr
Source: the Alexandria database
Functional: PBE-GGA
Structure: optimized geometry

Cell: 4.654 4.654 4.654 Å, 60.00 60.00 60.00°
Sites, in units of the cell vectors:
Pa (0.000, 0.000, 0.000)
Al (0.500, 0.500, 0.500)
Tc (0.750, 0.750, 0.750)
Ir (0.250, 0.250, 0.250)

Properties
Energy of formation ... -0.51 eV/atom
Magnetization ... 0.00 Bohr magnetons per cell
D(E_F) ... 0.706 states/eV/atom
Energy ... -34.51 eV per cell

[5]
Compound: Ac2Ge3Au
Source: the Alexandria database
Functional: PBE-GGA
Structure: optimized geometry

Cell: 8.917 8.846 6.381 Å, 69.54 68.36 42.11°
Sites, in units of the cell vectors:
Ac (0.245, 0.755, 0.245)
Ac (0.250, 0.250, 0.250)
Ac (0.750, 0.750, 0.750)
Ac (0.755, 0.245, 0.755)
Ge (0.166, 0.166, 0.834)
Ge (0.167, 0.667, 0.833)
Ge (0.333, 0.833, 0.667)
Ge (0.667, 0.167, 0.333)
Ge (0.833, 0.333, 0.167)
Ge (0.834, 0.834, 0.166)
Au (0.334, 0.334, 0.666)
Au (0.666, 0.666, 0.334)

Properties
Energy of formation ... -0.74 eV/atom
Magnetization ... 0.00 Bohr magnetons per cell
D(E_F) ... 0.453 states/eV/atom
Energy ... -59.57 eV per cell

[6]
Compound: MgRuAu2
Source: the Alexandria database
Functional: PBE-GGA
Structure: optimized geometry

Cell: 9.996 9.996 9.996 Å, 157.47 157.47 32.07°
Sites, in units of the cell vectors:
Mg (0.000, 0.000, 0.000)
Mg (0.750, 0.250, 0.500)
Ru (0.250, 0.750, 0.500)
Ru (0.500, 0.500, 0.000)
Au (0.127, 0.625, 0.002)
Au (0.375, 0.377, 0.502)
Au (0.623, 0.125, 0.998)
Au (0.875, 0.873, 0.498)

Properties
Energy of formation ... 0.32 eV/atom
Magnetization ... 1.67 Bohr magnetons per cell
D(E_F) ... 0.880 states/eV/atom
Energy ... -32.31 eV per cell

[7]
Compound: Be2SnH6
Source: the Alexandria database
Functional: PBE-GGA
Structure: optimized geometry

Cell: 4.518 4.518 4.518 Å, 60.00 60.00 60.00°
Sites, in units of the cell vectors:
Be (0.250, 0.250, 0.250)
Be (0.750, 0.750, 0.750)
Sn (0.000, 0.000, 0.000)
H (0.342, 0.342, 0.658)
H (0.342, 0.658, 0.342)
H (0.342, 0.658, 0.658)
H (0.658, 0.342, 0.342)
H (0.658, 0.342, 0.658)
H (0.658, 0.658, 0.342)

Properties
Magnetization ... 0.00 Bohr magnetons per cell
D(E_F) ... 0.464 states/eV/atom
Energy ... -22.37 eV per cell

[8]
Compound: TmVMo
Source: the Alexandria database
Functional: PBE-GGA
Structure: optimized geometry

Cell: 5.805 5.805 5.588 Å, 90.00 90.00 140.29°
Sites, in units of the cell vectors:
Tm (0.216, 0.784, 0.750)
Tm (0.784, 0.216, 0.250)
V (0.059, 0.941, 0.250)
V (0.941, 0.059, 0.750)
Mo (0.500, 0.500, 0.000)
Mo (0.500, 0.500, 0.500)

Properties
Energy of formation ... 0.16 eV/atom
Magnetization ... 0.00 Bohr magnetons per cell
D(E_F) ... 1.192 states/eV/atom
Energy ... -47.91 eV per cell